Entry 1:
DFT (PBE-GGA) results for crystalline MnIn2Pt at its relaxed geometry.

total magnetic moment: 3.9 μB per formula unit
space-group type: R3m
raw total energy: -5.15 eV/atom
V: 80.4 Å³ per cell
density of states at the Fermi level: 2.2 states/eV/cell

Cell lengths 9.0356, 9.0356, 9.0356 Å; angles 20.67, 20.67, 20.67 degrees
Closest atoms and distances in Å follow each position.
Positions (direct):
Mn  0.0000  0.0000  0.0000  3 Pt 2.59
In  0.5185  0.5185  0.5185  3 Pt 2.85
In  0.7518  0.7518  0.7518  3 Mn 2.93, 9 In 3.24-3.25
Pt  0.2660  0.2660  0.2660  3 Mn 2.59, 3 In 2.85

Entry 2:
DFT (PBE-GGA) results for crystalline AlPbC at its relaxed geometry.

total magnetic moment: 0.0 μB per formula unit
space-group type: Pmn2_1
raw total energy: -5.21 eV/atom
V: 122.1 Å³ per cell
distance to the lowest polymorph of the same formula: 0 meV per atom
density of states at the Fermi level: 1.7 states/eV/cell

Cell lengths 3.3992, 6.4175, 5.5991 Å; angles 90.00, 90.00, 90.00 degrees
Closest atoms and distances in Å follow each position.
Positions (direct):
Al  0.0000  0.0201  0.0000  3 C 1.97
Al  0.5000  0.9799  0.5000  3 C 1.97
Pb  0.0000  0.5610  0.6978  1 C 2.33
Pb  0.5000  0.4390  0.1978  1 C 2.33
C  0.0000  0.9237  0.6662  3 Al 1.97
C  0.5000  0.0763  0.1662  3 Al 1.97

ΔH_f (0 K) values (in eV per atom) by entry order: 0.0260 0.3471.